Ce4AsBr5 after structural relaxation. Source: the Alexandria database, functional GGA-PBE.

```
Ce4AsBr5
1.0
0.5568 -0.0615 -4.0603
2.5175 -8.3560 0.4719
-9.2476 -0.8970 0.8142
Ce As Br
4 1 5
direct
0.3371 0.9326 0.6743
0.9990 0.7690 0.9980
0.6629 0.0674 0.3257
0.0010 0.2310 0.0020
0.5000 0.0000 0.0000
0.8318 0.6764 0.6636
0.8323 0.1905 0.6646
0.1677 0.8095 0.3354
0.5000 0.5000 0.0000
0.1682 0.3236 0.3364
```

Calculated values
formation energy (no corrections): -1537 meV/atom